Record 1
## SrGaReO6 (PBE-GGA)

Data for a relaxed structure of SrGaReO6.

Cell: 5.2226 5.2226 5.3633 Å, 90.00 90.00 120.00°
With the nearest neighbours (Å) after each atom.
Fractional positions:
Sr 0.0000 0.0000 0.0000  6 O 2.57
Ga 0.3333 0.6667 0.5000  6 O 2.00
Re 0.6667 0.3333 0.5000  6 O 1.90
O 0.3921 0.0141 0.7023  1 Re 1.90, 1 Ga 2.00
O 0.3921 0.3780 0.2977  1 Re 1.90, 1 Ga 2.00
O 0.6220 0.0141 0.2977  1 Re 1.90, 1 Ga 2.00
O 0.6220 0.6079 0.7023  1 Re 1.90, 1 Ga 2.00
O 0.9859 0.3780 0.7023  1 Re 1.90, 1 Ga 2.00
O 0.9859 0.6079 0.2977  1 Re 1.90, 1 Ga 2.00

Output
- Formation energy from raw total energies: -17.95 eV/f.u.

***

Record 2
## Cu2HgP (PBE-GGA)

Data for a relaxed structure of Cu2HgP.

Cell: 2.8567 3.6653 6.2524 Å, 90.00 90.00 90.00°
With the nearest neighbours (Å) after each atom.
Fractional positions:
Cu 0.0000 0.0000 0.0000  4 P 2.44
Cu 0.5000 0.5000 0.2432  1 P 2.28
Hg 0.0000 0.0000 0.4978  6 Cu 2.82-3.14, 2 Hg 2.86
P 0.5000 0.5000 0.8790  5 Cu 2.28-2.44

Output
- E_form: 77.4 kJ/mol of formula units
- D(E_F): 1.635 states/eV/cell

***

Record 3
## ReAsAu2 (PBE-GGA)

Data for a relaxed structure of ReAsAu2.

Cell: 2.8099 2.8099 10.3734 Å, 90.00 90.00 115.24°
With the nearest neighbours (Å) after each atom.
Fractional positions:
Re 0.0000 0.0000 0.0000  2 As 2.52, 4 Re 2.81
As 0.5000 0.5000 0.8046  2 Re 2.52, 4 As 2.81
Au 0.0000 0.0000 0.4855  8 Au 2.81-3.01
Au 0.5000 0.5000 0.2382  8 Au 2.81-3.01, 2 Re 2.89

Output
- E_form: 145.9 kJ/mol of formula units
- D(E_F): 2.673 states/eV/cell

***

Record 4
## Sm2Th3Os2 (PBE-GGA)

Data for a relaxed structure of Sm2Th3Os2.

Cell: 6.4408 6.4408 8.9493 Å, 114.50 114.50 35.92°
With the nearest neighbours (Å) after each atom.
Fractional positions:
Sm 0.1635 0.1635 0.3102  2 Os 3.10
Sm 0.8365 0.8365 0.6898  2 Os 3.10
Th 0.3807 0.3807 0.0618  3 Os 2.86-2.96
Th 0.5000 0.5000 0.5000  4 Os 2.96
Th 0.6193 0.6193 0.9382  3 Os 2.86-2.96
Os 0.1615 0.1615 0.7398  5 Th 2.86-2.96, 2 Sm 3.10
Os 0.8385 0.8385 0.2602  5 Th 2.86-2.96, 2 Sm 3.10

Output
- E_form: -154.6 kJ/mol of formula units
- D(E_F): 7.559 states/eV/cell

***

Record 5
## Tb2Al2CdNi5 (PBE-GGA)

Data for a relaxed structure of Tb2Al2CdNi5.

Cell: 9.6103 9.6103 3.5385 Å, 90.00 90.00 90.00°
With the nearest neighbours (Å) after each atom.
Fractional positions:
Tb 0.1833 0.3167 0.0000  3 Al 2.78-2.92, 10 Ni 3.04-3.08
Tb 0.3167 0.8167 0.0000  3 Al 2.78-2.92, 10 Ni 3.04-3.08
Tb 0.6833 0.1833 0.0000  3 Al 2.78-2.92, 10 Ni 3.04-3.08
Tb 0.8167 0.6833 0.0000  3 Al 2.78-2.92, 10 Ni 3.04-3.08
Al 0.1119 0.6119 0.0000  6 Ni 2.33-2.43
Al 0.3881 0.1119 0.0000  6 Ni 2.33-2.43
Al 0.6119 0.8881 0.0000  6 Ni 2.33-2.43
Al 0.8881 0.3881 0.0000  6 Ni 2.33-2.43
Cd 0.0000 0.0000 0.0000  8 Ni 2.84
Cd 0.5000 0.5000 0.0000  8 Ni 2.84
Ni 0.0000 0.5000 0.5000  4 Al 2.33
Ni 0.0620 0.7772 0.5000  2 Al 2.43
Ni 0.2228 0.0620 0.5000  2 Al 2.43
Ni 0.2772 0.5620 0.5000  2 Al 2.43
Ni 0.4380 0.2772 0.5000  2 Al 2.43
Ni 0.5000 0.0000 0.5000  4 Al 2.33
Ni 0.5620 0.7228 0.5000  2 Al 2.43
Ni 0.7228 0.4380 0.5000  2 Al 2.43
Ni 0.7772 0.9380 0.5000  2 Al 2.43
Ni 0.9380 0.2228 0.5000  2 Al 2.43

Output
- E_form: -298.5 kJ/mol of formula units
- D(E_F): 15.690 states/eV/cell

***

Record 6
## YAsRu2 (PBE-GGA)

Data for a relaxed structure of YAsRu2.

Cell: 5.9167 5.9167 5.9167 Å, 103.93 103.93 121.23°
With the nearest neighbours (Å) after each atom.
Fractional positions:
Y 0.0000 0.0000 0.0000  2 As 2.90, 8 Ru 3.09-3.11
Y 0.7500 0.2500 0.5000  2 As 2.90, 8 Ru 3.09-3.11
As 0.2500 0.7500 0.5000  4 Ru 2.33
As 0.5000 0.5000 0.0000  4 Ru 2.33
Ru 0.2022 0.6250 0.0772  2 As 2.33
Ru 0.3750 0.4522 0.5772  2 As 2.33
Ru 0.5478 0.1250 0.9228  2 As 2.33
Ru 0.8750 0.7978 0.4228  2 As 2.33

Output
- E_form: -29.6 kJ/mol of formula units
- D(E_F): 0.549 states/eV/cell

***

Record 7
## Y4HgSb (PBE-GGA)

Data for a relaxed structure of Y4HgSb.

Cell: 6.3053 6.3053 6.3053 Å, 60.00 60.00 60.00°
With the nearest neighbours (Å) after each atom.
Fractional positions:
Y 0.1252 0.1252 0.1252  6 Y 3.15-3.16
Y 0.1252 0.1252 0.6243  6 Y 3.15-3.16
Y 0.1252 0.6243 0.1252  6 Y 3.15-3.16
Y 0.6243 0.1252 0.1252  6 Y 3.15-3.16
Hg 0.7500 0.7500 0.7500  12 Y 3.70, 4 Sb 3.86
Sb 0.5000 0.5000 0.5000  12 Y 3.70, 4 Hg 3.86

Output
- Excess energy over the best structure of this formula in the dataset: 709 meV per atom
- Formation energy from raw total energies: 0.88 eV/f.u.
- D(E_F): 8.145 states/eV/cell

***

Record 8
## GdZnGePd (PBE-GGA)

Data for a relaxed structure of GdZnGePd.

Cell: 4.7131 4.7131 4.7131 Å, 60.00 60.00 60.00°
With the nearest neighbours (Å) after each atom.
Fractional positions:
Gd 0.0000 0.0000 0.0000  4 Ge 2.89, 4 Zn 2.89
Zn 0.2500 0.2500 0.2500  4 Pd 2.89, 4 Gd 2.89
Ge 0.7500 0.7500 0.7500  4 Gd 2.89, 4 Pd 2.89
Pd 0.5000 0.5000 0.5000  4 Ge 2.89, 4 Zn 2.89

Output
- E_form: -205.4 kJ/mol of formula units
- D(E_F): 3.112 states/eV/cell

***

Record 9
## BaTcP2Cl (PBE-GGA)

Data for a relaxed structure of BaTcP2Cl.

Cell: 5.6078 5.6078 5.6385 Å, 90.00 90.00 90.00°
With the nearest neighbours (Å) after each atom.
Fractional positions:
Ba 0.0000 0.0000 0.0000  4 P 2.80, 2 Cl 2.82
Tc 0.5000 0.5000 0.5000  4 Cl 3.97, 8 P 3.98
P 0.0000 0.5000 0.0000  2 Ba 2.80
P 0.5000 0.0000 0.0000  2 Ba 2.80
Cl 0.0000 0.0000 0.5000  2 Ba 2.82

Output
- Excess energy over the best structure of this formula in the dataset: 2011 meV per atom
- Formation energy from raw total energies: 6.83 eV/f.u.
- D(E_F): 3.612 states/eV/cell

***

Record 10
## MnZn2Ag (PBE-GGA)

Data for a relaxed structure of MnZn2Ag.

Cell: 2.8126 2.8020 7.5346 Å, 90.00 90.16 90.00°
With the nearest neighbours (Å) after each atom.
Fractional positions:
Mn 0.0000 0.0000 0.0000  8 Zn 2.64, 4 Mn 2.80-2.81
Zn 0.4988 0.5000 0.7694  4 Mn 2.64, 4 Zn 2.80-2.81, 4 Ag 2.83-2.84
Zn 0.5012 0.5000 0.2306  4 Mn 2.64, 4 Zn 2.80-2.81, 4 Ag 2.83-2.84
Ag 0.0000 0.0000 0.5000  4 Ag 2.80-2.81, 8 Zn 2.83-2.84

Output
- E_form: 6.0 kJ/mol of formula units
- D(E_F): 1.782 states/eV/cell

***

Record 11
## Sc2BeSb (PBE-GGA)

Data for a relaxed structure of Sc2BeSb.

Cell: 3.8349 5.5562 5.5562 Å, 42.82 90.00 90.00°
With the nearest neighbours (Å) after each atom.
Fractional positions:
Sc 0.0000 0.0000 0.0000  1 Be 2.72, 4 Sb 2.92
Sc 0.5000 0.2946 0.2946  4 Be 2.85, 3 Sb 2.97-2.99
Be 0.0000 0.7372 0.7372  2 Sb 2.50, 1 Sc 2.72
Sb 0.5000 0.5815 0.5815  2 Be 2.50

Output
- Excess energy over the best structure of this formula in the dataset: 0 meV per atom
- Formation energy from raw total energies: -1.90 eV/f.u.
- D(E_F): 3.360 states/eV/cell

***

Record 12
## Ba3Sb4Pd2Pb2 (PBE-GGA)

Data for a relaxed structure of Ba3Sb4Pd2Pb2.

Cell: 4.6387 4.6387 20.4060 Å, 90.00 90.00 120.00°
With the nearest neighbours (Å) after each atom.
Fractional positions:
Ba 0.0000 0.0000 0.0000  6 Sb 3.65, 6 Pd 3.66
Ba 0.0000 0.0000 0.2416  6 Sb 3.52-3.63, 3 Pd 3.62
Ba 0.0000 0.0000 0.7584  6 Sb 3.52-3.63, 3 Pd 3.62
Sb 0.3333 0.6667 0.3532  3 Pb 3.08
Sb 0.3333 0.6667 0.8783  3 Pd 2.68
Sb 0.6667 0.3333 0.1217  3 Pd 2.68
Sb 0.6667 0.3333 0.6468  3 Pb 3.08
Pd 0.3333 0.6667 0.1220  3 Sb 2.68
Pd 0.6667 0.3333 0.8780  3 Sb 2.68
Pb 0.3333 0.6667 0.5725  3 Sb 3.08
Pb 0.6667 0.3333 0.4275  3 Sb 3.08

Output
- Formation energy from raw total energies: -7.66 eV/f.u.
- D(E_F): 9.594 states/eV/cell

***

Q: Which formula does entry 2 have?
A: Cu2HgP